Below is PaNiSe6 after structural relaxation, with properties calculated at the PBE level.

Summary:
As for the symmetry: No. 12. As for the density of states at the Fermi level: 0.48 states/eV/atom. Its calculated total energy is -40.34 eV for the cell shown. For the formation energy without anion corrections, the calculation gives -0.52 eV per atom.

a b c (Å): 6.405 6.405 7.961
angles (deg): 52.79 52.79 73.88
Fractional positions:
1 Pa 0.500 0.500 0.500
2 Se 0.952 0.459 0.692
3 Se 0.048 0.541 0.308
4 Se 0.778 0.778 0.983
5 Se 0.541 0.048 0.308
6 Se 0.459 0.952 0.692
7 Se 0.222 0.222 0.017
8 Ni 0.000 0.000 0.000

Below is Pa3NiSe6 after structural relaxation, with properties calculated at the PBE level.

Summary:
As for the symmetry: No. 36. As for the density of states at the Fermi level: 1.37 states/eV/atom. Its calculated total energy is -133.97 eV for the cell shown. For the formation energy without anion corrections, the calculation gives -1.18 eV per atom.

a b c (Å): 6.584 8.785 8.785
angles (deg): 100.61 90.00 90.00
Site moments in Bohr magnetons follow the coordinates.
Fractional positions:
1 Pa 0.873 0.611 0.389  0.86
2 Pa 0.468 0.268 0.062  0.70
3 Pa 0.968 0.062 0.268  0.70
4 Pa 0.968 0.732 0.938  0.70
5 Pa 0.373 0.389 0.611  0.86
6 Pa 0.468 0.938 0.732  0.70
7 Se 0.699 0.912 0.449  -0.03
8 Se 0.699 0.551 0.088  -0.03
9 Se 0.171 0.698 0.632  -0.03
10 Se 0.165 0.033 0.967  -0.02
11 Se 0.199 0.088 0.551  -0.03
12 Se 0.671 0.632 0.698  -0.03
13 Se 0.187 0.772 0.228  -0.03
14 Se 0.671 0.302 0.368  -0.03
15 Se 0.687 0.228 0.772  -0.03
16 Se 0.665 0.967 0.033  -0.02
17 Se 0.199 0.449 0.912  -0.03
18 Se 0.171 0.368 0.302  -0.03
19 Ni 0.585 0.798 0.202  -0.07
20 Ni 0.085 0.202 0.798  -0.07

Below is Pa2NiSe6 after structural relaxation, with properties calculated at the PBE level.

Summary:
As for the symmetry: No. 14. As for the density of states at the Fermi level: 0.16 states/eV/atom. Its calculated total energy is -110.57 eV for the cell shown. For the formation energy without anion corrections, the calculation gives -1.07 eV per atom.

a b c (Å): 5.913 7.530 9.035
angles (deg): 90.00 91.94 90.00
Fractional positions:
1 Pa 0.415 0.129 0.753
2 Pa 0.585 0.871 0.247
3 Pa 0.085 0.629 0.747
4 Pa 0.915 0.371 0.253
5 Se 0.655 0.164 0.451
6 Se 0.344 0.832 0.949
7 Se 0.156 0.332 0.551
8 Se 0.155 0.336 0.951
9 Se 0.390 0.516 0.249
10 Se 0.890 0.984 0.749
11 Se 0.845 0.664 0.049
12 Se 0.610 0.484 0.751
13 Se 0.110 0.016 0.251
14 Se 0.844 0.668 0.449
15 Se 0.656 0.168 0.051
16 Se 0.345 0.836 0.549
17 Ni 0.000 0.000 0.500
18 Ni 0.500 0.500 0.000

Below is Pa2Ni2Se7 after structural relaxation, with properties calculated at the PBE level.

Summary:
As for the symmetry: No. 12. As for the density of states at the Fermi level: 0.66 states/eV/atom. Its calculated total energy is -63.08 eV for the cell shown. For the formation energy without anion corrections, the calculation gives -0.74 eV per atom.

a b c (Å): 6.463 7.186 7.186
angles (deg): 117.04 90.26 90.26
Site moments in Bohr magnetons follow the coordinates.
Fractional positions:
1 Se 0.236 0.375 0.012  0.03
2 Se 0.731 0.401 0.401  0.03
3 Se 0.764 0.988 0.625  0.03
4 Se 0.269 0.599 0.599  0.03
5 Se 0.500 0.000 0.000  0.51
6 Se 0.236 0.012 0.375  0.03
7 Se 0.764 0.625 0.988  0.03
8 Ni 0.342 0.277 0.277  0.34
9 Ni 0.658 0.723 0.723  0.34
10 Pa 0.000 0.329 0.671  0.06
11 Pa 0.000 0.671 0.329  0.06

Below is Pa5Ni2Se12 after structural relaxation, with properties calculated at the PBE level.

Summary:
As for the symmetry: No. 12. As for the density of states at the Fermi level: 1.15 states/eV/atom. Its calculated total energy is -120.49 eV for the cell shown. For the formation energy without anion corrections, the calculation gives -1.03 eV per atom.

a b c (Å): 7.192 8.671 8.789
angles (deg): 104.30 90.00 114.50
Site moments in Bohr magnetons follow the coordinates.
Fractional positions:
1 Pa 0.322 0.643 0.147  0.52
2 Pa 0.000 0.000 0.500  0.41
3 Pa 0.678 0.357 0.853  0.52
4 Pa 0.695 0.391 0.343  0.75
5 Pa 0.305 0.609 0.657  0.75
6 Ni 0.252 0.000 0.000  0.23
7 Ni 0.748 0.000 0.000  0.23
8 Se 0.073 0.662 0.906  -0.03
9 Se 0.411 0.338 0.094  -0.03
10 Se 0.504 0.009 0.208  -0.01
11 Se 0.996 0.992 0.195  0.03
12 Se 0.004 0.008 0.805  0.03
13 Se 0.927 0.338 0.094  -0.03
14 Se 0.589 0.662 0.906  -0.03
15 Se 0.599 0.700 0.430  -0.02
16 Se 0.496 0.991 0.792  -0.01
17 Se 0.401 0.300 0.570  -0.02
18 Se 0.899 0.300 0.570  -0.02
19 Se 0.101 0.700 0.430  -0.02

Below is PaNiSe2 after structural relaxation, with properties calculated at the PBE level.

Summary:
As for the symmetry: No. 62. As for the density of states at the Fermi level: 0.68 states/eV/atom. Its calculated total energy is -105.44 eV for the cell shown. For the formation energy without anion corrections, the calculation gives -1.03 eV per atom.

a b c (Å): 3.765 8.397 10.405
angles (deg): 90.00 90.00 90.00
Site moments in Bohr magnetons follow the coordinates.
Fractional positions:
1 Pa 0.250 0.232 0.303  0.63
2 Pa 0.750 0.768 0.697  0.63
3 Pa 0.750 0.268 0.803  0.63
4 Pa 0.250 0.732 0.197  0.63
5 Se 0.250 0.285 0.024  -0.02
6 Se 0.750 0.001 0.203  -0.02
7 Se 0.250 0.999 0.797  -0.02
8 Se 0.750 0.215 0.524  -0.02
9 Se 0.750 0.501 0.297  -0.02
10 Se 0.250 0.499 0.703  -0.02
11 Se 0.750 0.715 0.976  -0.02
12 Se 0.250 0.785 0.476  -0.02
13 Ni 0.250 0.550 0.924  -0.08
14 Ni 0.250 0.050 0.576  -0.08
15 Ni 0.750 0.450 0.076  -0.08
16 Ni 0.750 0.950 0.424  -0.08

Below is PaNiSe2 after structural relaxation, with properties calculated at the PBE level.

Summary:
As for the symmetry: No. 166. As for the density of states at the Fermi level: 1.88 states/eV/atom. Its calculated total energy is -24.33 eV for the cell shown. For the formation energy without anion corrections, the calculation gives -0.52 eV per atom.

a b c (Å): 4.215 4.215 7.893
angles (deg): 74.52 74.52 60.00
Site moments in Bohr magnetons follow the coordinates.
Fractional positions:
1 Se 0.902 0.902 0.295  -0.02
2 Se 0.098 0.098 0.705  -0.02
3 Ni 0.000 0.000 0.000  -0.36
4 Pa 0.500 0.500 0.500  1.15

Below is Pa2NiSe6 after structural relaxation, with properties calculated at the PBE level.

Summary:
As for the symmetry: No. 136. As for the density of states at the Fermi level: 0.52 states/eV/atom. Its calculated total energy is -107.58 eV for the cell shown. For the formation energy without anion corrections, the calculation gives -0.90 eV per atom.

a b c (Å): 6.458 6.458 11.905
angles (deg): 90.00 90.00 90.00
Site moments in Bohr magnetons follow the coordinates.
Fractional positions:
1 Se 0.695 0.695 0.149  0.04
2 Se 0.203 0.797 0.000  0.04
3 Se 0.305 0.305 0.149  0.04
4 Se 0.305 0.305 0.851  0.04
5 Se 0.805 0.195 0.649  0.04
6 Se 0.195 0.805 0.649  0.04
7 Se 0.805 0.195 0.351  0.04
8 Se 0.797 0.203 0.000  0.04
9 Se 0.695 0.695 0.851  0.04
10 Se 0.195 0.805 0.351  0.04
11 Se 0.297 0.297 0.500  0.04
12 Se 0.703 0.703 0.500  0.04
13 Pa 0.500 0.500 0.673  0.14
14 Pa 0.000 0.000 0.827  0.14
15 Pa 0.500 0.500 0.327  0.14
16 Pa 0.000 0.000 0.173  0.14
17 Ni 0.000 0.000 0.500  1.00
18 Ni 0.500 0.500 0.000  1.00

Question: calculated total energy of number 6 (PaNiSe2)?
Answer: -105.44 eV for the cell shown

Question: Which of these has the highest calculated total energy?
Answer: number 7

Question: What is the formula in the eighth record?
Answer: Pa2NiSe6